(1)
# ThScCd14 PBE optimized geometry
# E (eV per atom): -1.73
# Space group: No. 123
# Mass density (kg/m3): 8291
# DOS at the Fermi energy (states/eV/atom): 0.45
data_ThScCd14
_space_group_name_H-M_alt 'P 1'
_space_group_IT_number 1
_space_group_name_Hall 'P 1'
_cell_length_a 6.618
_cell_length_b 6.618
_cell_length_c 8.464
_cell_angle_alpha 90.00
_cell_angle_beta 90.00
_cell_angle_gamma 90.00
loop_
_atom_site_label
_atom_site_fract_x
_atom_site_fract_y
_atom_site_fract_z
_atom_site_occupancy
Th1 0.000 0.000 0.000 1
Sc1 0.500 0.500 0.000 1
Cd1 0.000 0.000 0.500 1
Cd2 0.000 0.500 0.000 1
Cd3 0.000 0.500 0.500 1
Cd4 0.259 0.259 0.257 1
Cd5 0.259 0.259 0.743 1
Cd6 0.259 0.741 0.257 1
Cd7 0.259 0.741 0.743 1
Cd8 0.500 0.000 0.000 1
Cd9 0.500 0.000 0.500 1
Cd10 0.500 0.500 0.500 1
Cd11 0.741 0.259 0.257 1
Cd12 0.741 0.259 0.743 1
Cd13 0.741 0.741 0.257 1
Cd14 0.741 0.741 0.743 1

---

(2)
# Th4Sc5Cd PBE optimized geometry
# E (eV per atom): -6.27
# Space group: No. 123
# Mass density (kg/m3): 7754
# DOS at the Fermi energy (states/eV/atom): 0.96
data_Th4Sc5Cd
_space_group_name_H-M_alt 'P 1'
_space_group_IT_number 1
_space_group_name_Hall 'P 1'
_cell_length_a 3.488
_cell_length_b 3.488
_cell_length_c 22.270
_cell_angle_alpha 90.00
_cell_angle_beta 90.00
_cell_angle_gamma 90.00
loop_
_atom_site_label
_atom_site_fract_x
_atom_site_fract_y
_atom_site_fract_z
_atom_site_occupancy
Th1 0.000 0.000 0.104 1
Th2 0.000 0.000 0.314 1
Th3 0.000 0.000 0.686 1
Th4 0.000 0.000 0.896 1
Sc1 0.500 0.500 0.000 1
Sc2 0.500 0.500 0.209 1
Sc3 0.500 0.500 0.415 1
Sc4 0.500 0.500 0.585 1
Sc5 0.500 0.500 0.791 1
Cd1 0.000 0.000 0.500 1

---

(3)
# ThSc2Cd4 PBE optimized geometry
# E (eV per atom): -3.41
# Space group: No. 123
# Mass density (kg/m3): 6886
# DOS at the Fermi energy (states/eV/atom): 1.08
data_ThSc2Cd4
_space_group_name_H-M_alt 'P 1'
_space_group_IT_number 1
_space_group_name_Hall 'P 1'
_cell_length_a 5.069
_cell_length_b 5.069
_cell_length_c 7.240
_cell_angle_alpha 90.00
_cell_angle_beta 90.00
_cell_angle_gamma 90.00
loop_
_atom_site_label
_atom_site_fract_x
_atom_site_fract_y
_atom_site_fract_z
_atom_site_occupancy
Th1 0.000 0.000 0.000 1
Sc1 0.000 0.000 0.500 1
Sc2 0.500 0.500 0.000 1
Cd1 0.000 0.500 0.283 1
Cd2 0.000 0.500 0.717 1
Cd3 0.500 0.000 0.283 1
Cd4 0.500 0.000 0.717 1